# VSe2BrO (PBE with a Hubbard U, relaxed)
# **Energy above the most stable polymorph in this dataset**: 0.000 eV/atom
# **Density of states at the Fermi level**: 4.99 states/eV/f.u.
data_VSe2BrO
_cell_length_a 4.133
_cell_length_b 4.133
_cell_length_c 6.116
_cell_angle_alpha 90.00
_cell_angle_beta 90.00
_cell_angle_gamma 90.00
_symmetry_space_group_name_H-M 'P 4/m m m'
_symmetry_Int_Tables_number 123
_symmetry_space_group_name_Hall '-P 4 2'
loop_
_atom_site_label
_atom_site_type_symbol
_atom_site_fract_x
_atom_site_fract_y
_atom_site_fract_z
_atom_site_occupancy
V1 V 0.000 0.000 0.000 1
Se1 Se 0.000 0.500 0.500 1
Br1 Br 0.500 0.500 0.000 1
O1 O 0.500 0.500 0.500 1